# LiDy6Ga5 PBE relaxed
# Mass density (Mg/m³): 8.0
# Energy of formation from the pure elements (meV per atom): -518
data_LiDy6Ga5
_chemical_formula_sum 'Li2 Dy12 Ga10'
_space_group_name_H-M_alt 'C m m m'
_space_group_IT_number 65
_space_group_name_Hall '-C 2 2'
_cell_length_a 5.072
_cell_length_b 15.302
_cell_length_c 7.095
_cell_angle_alpha 90.00
_cell_angle_beta 90.00
_cell_angle_gamma 90.00
loop_
_atom_site_label
_atom_site_type_symbol
_atom_site_fract_x
_atom_site_fract_y
_atom_site_fract_z
_atom_site_occupancy
Li1 Li 0.000 0.000 0.000 1
Dy1 Dy 0.000 0.170 0.250 1
Dy2 Dy 0.000 0.500 0.257 1
Ga1 Ga 0.000 0.000 0.500 1
Ga2 Ga 0.000 0.334 0.500 1
Ga3 Ga 0.000 0.344 0.000 1



# LiDyLuGa PBE relaxed
# Mass density (Mg/m³): 7.6
# Energy of formation from the pure elements (meV per atom): -309
data_LiDyLuGa
_chemical_formula_sum 'Li4 Dy4 Lu4 Ga4'
_space_group_name_H-M_alt 'F -4 3 m'
_space_group_IT_number 216
_space_group_name_Hall 'F -4 2 3'
_cell_length_a 7.123
_cell_length_b 7.123
_cell_length_c 7.123
_cell_angle_alpha 90.00
_cell_angle_beta 90.00
_cell_angle_gamma 90.00
loop_
_atom_site_label
_atom_site_type_symbol
_atom_site_fract_x
_atom_site_fract_y
_atom_site_fract_z
_atom_site_occupancy
Li1 Li 0.000 0.000 0.000 1
Dy1 Dy 0.250 0.250 0.250 1
Lu1 Lu 0.250 0.250 0.750 1
Ga1 Ga 0.000 0.000 0.500 1



# LiDyMnGa PBE relaxed
# Mass density (Mg/m³): 6.8
# Energy of formation from the pure elements (meV per atom): -76
data_LiDyMnGa
_chemical_formula_sum 'Li4 Dy4 Mn4 Ga4'
_space_group_name_H-M_alt 'F -4 3 m'
_space_group_IT_number 216
_space_group_name_Hall 'F -4 2 3'
_cell_length_a 6.603
_cell_length_b 6.603
_cell_length_c 6.603
_cell_angle_alpha 90.00
_cell_angle_beta 90.00
_cell_angle_gamma 90.00
loop_
_atom_site_label
_atom_site_type_symbol
_atom_site_fract_x
_atom_site_fract_y
_atom_site_fract_z
_atom_site_occupancy
Li1 Li 0.000 0.000 0.000 1
Dy1 Dy 0.250 0.250 0.750 1
Mn1 Mn 0.000 0.000 0.500 1
Ga1 Ga 0.250 0.250 0.250 1



# LiNdDyGa PBE relaxed
# Mass density (Mg/m³): 6.5
# Energy of formation from the pure elements (meV per atom): -300
data_LiNdDyGa
_chemical_formula_sum 'Li4 Nd4 Dy4 Ga4'
_space_group_name_H-M_alt 'F -4 3 m'
_space_group_IT_number 216
_space_group_name_Hall 'F -4 2 3'
_cell_length_a 7.326
_cell_length_b 7.326
_cell_length_c 7.326
_cell_angle_alpha 90.00
_cell_angle_beta 90.00
_cell_angle_gamma 90.00
loop_
_atom_site_label
_atom_site_type_symbol
_atom_site_fract_x
_atom_site_fract_y
_atom_site_fract_z
_atom_site_occupancy
Li1 Li 0.000 0.000 0.000 1
Nd1 Nd 0.250 0.250 0.750 1
Dy1 Dy 0.250 0.250 0.250 1
Ga1 Ga 0.000 0.000 0.500 1



# LiDyGaNi PBE relaxed
# Mass density (Mg/m³): 7.6
# Energy of formation from the pure elements (meV per atom): -390
data_LiDyGaNi
_chemical_formula_sum 'Li4 Dy4 Ga4 Ni4'
_space_group_name_H-M_alt 'F -4 3 m'
_space_group_IT_number 216
_space_group_name_Hall 'F -4 2 3'
_cell_length_a 6.398
_cell_length_b 6.398
_cell_length_c 6.398
_cell_angle_alpha 90.00
_cell_angle_beta 90.00
_cell_angle_gamma 90.00
loop_
_atom_site_label
_atom_site_type_symbol
_atom_site_fract_x
_atom_site_fract_y
_atom_site_fract_z
_atom_site_occupancy
Li1 Li 0.000 0.000 0.000 1
Dy1 Dy 0.250 0.250 0.750 1
Ga1 Ga 0.250 0.250 0.250 1
Ni1 Ni 0.000 0.000 0.500 1



# LiDy2Ga2Ni5 PBE relaxed
# Mass density (Mg/m³): 8.0
# Energy of formation from the pure elements (meV per atom): -267
data_LiDy2Ga2Ni5
_chemical_formula_sum 'Li2 Dy4 Ga4 Ni10'
_space_group_name_H-M_alt 'P 4/m b m'
_space_group_IT_number 127
_space_group_name_Hall '-P 4 2ab'
_cell_length_a 9.446
_cell_length_b 9.446
_cell_length_c 3.549
_cell_angle_alpha 90.00
_cell_angle_beta 90.00
_cell_angle_gamma 90.00
loop_
_atom_site_label
_atom_site_type_symbol
_atom_site_fract_x
_atom_site_fract_y
_atom_site_fract_z
_atom_site_occupancy
Li1 Li 0.000 0.000 0.000 1
Dy1 Dy 0.179 0.321 0.000 1
Ga1 Ga 0.118 0.618 0.000 1
Ni1 Ni 0.000 0.500 0.500 1
Ni2 Ni 0.061 0.787 0.500 1



# LiDy2GaO5 PBE relaxed
# Mass density (Mg/m³): 6.8
# E_form (uncorrected) (eV/atom): -2.559
data_LiDy2GaO5
_chemical_formula_sum 'Li2 Dy4 Ga2 O10'
_space_group_name_H-M_alt 'P 4/m b m'
_space_group_IT_number 127
_space_group_name_Hall '-P 4 2ab'
_cell_length_a 6.441
_cell_length_b 6.441
_cell_length_c 5.678
_cell_angle_alpha 90.00
_cell_angle_beta 90.00
_cell_angle_gamma 90.00
loop_
_atom_site_label
_atom_site_type_symbol
_atom_site_fract_x
_atom_site_fract_y
_atom_site_fract_z
_atom_site_occupancy
Li1 Li 0.000 0.000 0.000 1
Dy1 Dy 0.178 0.322 0.500 1
Ga1 Ga 0.000 0.500 0.000 1
O1 O 0.000 0.000 0.500 1
O2 O 0.140 0.640 0.243 1



# LiDyGa4O8 PBE relaxed
# Mass density (Mg/m³): 6.0
# E_form (uncorrected) (eV/atom): -2.113
data_LiDyGa4O8
_chemical_formula_sum 'Li3 Dy3 Ga12 O24'
_space_group_name_H-M_alt 'R 3 m'
_space_group_IT_number 160
_space_group_name_Hall 'R 3 -2"'
_cell_length_a 6.0758
_cell_length_b 6.0758
_cell_length_c 14.8751
_cell_angle_alpha 90.00
_cell_angle_beta 90.00
_cell_angle_gamma 120.00
loop_
_atom_site_label
_atom_site_type_symbol
_atom_site_fract_x
_atom_site_fract_y
_atom_site_fract_z
_atom_site_occupancy
Li1 Li 0.0000 0.0000 0.0000 1
Dy1 Dy 0.0000 0.0000 0.3782 1
Ga1 Ga 0.0000 0.0000 0.6138 1
Ga2 Ga 0.1697 0.3394 0.8301 1
O1 O 0.0000 0.0000 0.2350 1
O2 O 0.0000 0.0000 0.7491 1
O3 O 0.0401 0.5200 0.7588 1
O4 O 0.1732 0.3463 0.5716 1



# LiDy2GaO PBE relaxed
# Mass density (Mg/m³): 7.6
# E_form (uncorrected) (eV/atom): -1.478
data_LiDy2GaO
_chemical_formula_sum 'Li1 Dy2 Ga1 O1'
_space_group_name_H-M_alt 'P 4/m m m'
_space_group_IT_number 123
_space_group_name_Hall '-P 4 2'
_cell_length_a 4.747
_cell_length_b 4.747
_cell_length_c 4.033
_cell_angle_alpha 90.00
_cell_angle_beta 90.00
_cell_angle_gamma 90.00
loop_
_atom_site_label
_atom_site_type_symbol
_atom_site_fract_x
_atom_site_fract_y
_atom_site_fract_z
_atom_site_occupancy
Li1 Li 0.000 0.000 0.000 1
Dy1 Dy 0.000 0.500 0.500 1
Ga1 Ga 0.500 0.500 0.000 1
O1 O 0.000 0.000 0.500 1



# Li2DyGaO4 PBE relaxed
# Mass density (Mg/m³): 5.7
# E_form (uncorrected) (eV/atom): -2.184
data_Li2DyGaO4
_chemical_formula_sum 'Li8 Dy4 Ga4 O16'
_space_group_name_H-M_alt 'C m c m'
_space_group_IT_number 63
_space_group_name_Hall '-C 2c 2'
_cell_length_a 3.228
_cell_length_b 11.845
_cell_length_c 9.392
_cell_angle_alpha 90.00
_cell_angle_beta 90.00
_cell_angle_gamma 90.00
loop_
_atom_site_label
_atom_site_type_symbol
_atom_site_fract_x
_atom_site_fract_y
_atom_site_fract_z
_atom_site_occupancy
Li1 Li 0.000 0.092 0.035 1
Dy1 Dy 0.000 0.420 0.250 1
Ga1 Ga 0.000 0.298 0.750 1
O1 O 0.000 0.107 0.250 1
O2 O 0.000 0.181 0.621 1
O3 O 0.000 0.500 0.000 1



# LiDyGaOs PBE relaxed
# Mass density (Mg/m³): 10.3
# Energy of formation from the pure elements (meV per atom): -168
data_LiDyGaOs
_chemical_formula_sum 'Li4 Dy4 Ga4 Os4'
_space_group_name_H-M_alt 'F -4 3 m'
_space_group_IT_number 216
_space_group_name_Hall 'F -4 2 3'
_cell_length_a 6.525
_cell_length_b 6.525
_cell_length_c 6.525
_cell_angle_alpha 90.00
_cell_angle_beta 90.00
_cell_angle_gamma 90.00
loop_
_atom_site_label
_atom_site_type_symbol
_atom_site_fract_x
_atom_site_fract_y
_atom_site_fract_z
_atom_site_occupancy
Li1 Li 0.000 0.000 0.000 1
Dy1 Dy 0.250 0.250 0.250 1
Ga1 Ga 0.250 0.250 0.750 1
Os1 Os 0.000 0.000 0.500 1



# LiDy2Ga3Pd4 PBE relaxed
# Mass density (Mg/m³): 8.7
# Energy of formation from the pure elements (meV per atom): -756
data_LiDy2Ga3Pd4
_chemical_formula_sum 'Li1 Dy2 Ga3 Pd4'
_space_group_name_H-M_alt 'P -4 m 2'
_space_group_IT_number 115
_cell_length_a 3.980
_cell_length_b 3.980
_cell_length_c 11.652
_cell_angle_alpha 90.00
_cell_angle_beta 90.00
_cell_angle_gamma 90.00
loop_
_space_group_symop_operation_xyz
'x,y,z'
'y,-x,-z'
'-x,-y,z'
'-y,x,-z'
'-x,y,z'
'-y,-x,-z'
'x,-y,z'
'y,x,-z'
loop_
_atom_site_label
_atom_site_type_symbol
_atom_site_fract_x
_atom_site_fract_y
_atom_site_fract_z
_atom_site_occupancy
Li1 Li 0.000 0.000 0.000 1
Dy1 Dy 0.000 0.500 0.751 1
Ga1 Ga 0.000 0.500 0.366 1
Ga2 Ga 0.500 0.500 0.000 1
Pd1 Pd 0.000 0.000 0.500 1
Pd2 Pd 0.000 0.500 0.149 1
Pd3 Pd 0.500 0.500 0.500 1



# Li2DyGa2Pd2 PBE relaxed
# Mass density (Mg/m³): 7.2
# Energy of formation from the pure elements (meV per atom): -543
data_Li2DyGa2Pd2
_chemical_formula_sum 'Li4 Dy2 Ga4 Pd4'
_space_group_name_H-M_alt 'C 1 2/m 1'
_space_group_IT_number 12
_cell_length_a 7.727
_cell_length_b 4.434
_cell_length_c 7.543
_cell_angle_alpha 90.00
_cell_angle_beta 109.20
_cell_angle_gamma 90.00
loop_
_space_group_symop_operation_xyz
'x,y,z'
'-x,-y,-z'
'-x,y,-z'
'x,-y,z'
'x+1/2,y+1/2,z'
'-x+1/2,-y+1/2,-z'
'-x+1/2,y+1/2,-z'
'x+1/2,-y+1/2,z'
loop_
_atom_site_label
_atom_site_type_symbol
_atom_site_fract_x
_atom_site_fract_y
_atom_site_fract_z
_atom_site_occupancy
Li1 Li 0.076 0.000 0.222 1
Dy1 Dy 0.000 0.500 0.500 1
Ga1 Ga 0.138 0.500 0.916 1
Pd1 Pd 0.240 0.000 0.727 1



# LiDyGa2Pd4 PBE relaxed
# Mass density (Mg/m³): 9.3
# Energy of formation from the pure elements (meV per atom): -746
data_LiDyGa2Pd4
_chemical_formula_sum 'Li3 Dy3 Ga6 Pd12'
_space_group_name_H-M_alt 'R -3 m'
_space_group_IT_number 166
_space_group_name_Hall '-R 3 2"'
_cell_length_a 4.3401
_cell_length_b 4.3401
_cell_length_c 24.2446
_cell_angle_alpha 90.00
_cell_angle_beta 90.00
_cell_angle_gamma 120.00
loop_
_atom_site_label
_atom_site_type_symbol
_atom_site_fract_x
_atom_site_fract_y
_atom_site_fract_z
_atom_site_occupancy
Li1 Li 0.0000 0.0000 0.0000 1
Dy1 Dy 0.0000 0.0000 0.5000 1
Ga1 Ga 0.0000 0.0000 0.2606 1
Pd1 Pd 0.0000 0.0000 0.1021 1
Pd2 Pd 0.0000 0.0000 0.3708 1



# Li2PmDy2Ga2 PBE relaxed
# Mass density (Mg/m³): 6.3
# Energy of formation from the pure elements (meV per atom): -283
data_Li2PmDy2Ga2
_chemical_formula_sum 'Li6 Pm3 Dy6 Ga6'
_space_group_name_H-M_alt 'R -3 m'
_space_group_IT_number 166
_space_group_name_Hall '-R 3 2"'
_cell_length_a 4.6448
_cell_length_b 4.6448
_cell_length_c 26.3244
_cell_angle_alpha 90.00
_cell_angle_beta 90.00
_cell_angle_gamma 120.00
loop_
_atom_site_label
_atom_site_type_symbol
_atom_site_fract_x
_atom_site_fract_y
_atom_site_fract_z
_atom_site_occupancy
Li1 Li 0.0000 0.0000 0.0987 1
Pm1 Pm 0.0000 0.0000 0.5000 1
Dy1 Dy 0.0000 0.0000 0.3729 1
Ga1 Ga 0.0000 0.0000 0.2412 1



# Li2PrDy2Ga2 PBE relaxed
# Mass density (Mg/m³): 6.2
# Energy of formation from the pure elements (meV per atom): -284
data_Li2PrDy2Ga2
_chemical_formula_sum 'Li6 Pr3 Dy6 Ga6'
_space_group_name_H-M_alt 'R -3 m'
_space_group_IT_number 166
_space_group_name_Hall '-R 3 2"'
_cell_length_a 4.6718
_cell_length_b 4.6718
_cell_length_c 26.4260
_cell_angle_alpha 90.00
_cell_angle_beta 90.00
_cell_angle_gamma 120.00
loop_
_atom_site_label
_atom_site_type_symbol
_atom_site_fract_x
_atom_site_fract_y
_atom_site_fract_z
_atom_site_occupancy
Li1 Li 0.0000 0.0000 0.0952 1
Pr1 Pr 0.0000 0.0000 0.5000 1
Dy1 Dy 0.0000 0.0000 0.3721 1
Ga1 Ga 0.0000 0.0000 0.2430 1



# LiPrDyGa PBE relaxed
# Mass density (Mg/m³): 6.3
# Energy of formation from the pure elements (meV per atom): -295
data_LiPrDyGa
_chemical_formula_sum 'Li4 Pr4 Dy4 Ga4'
_space_group_name_H-M_alt 'F -4 3 m'
_space_group_IT_number 216
_space_group_name_Hall 'F -4 2 3'
_cell_length_a 7.355
_cell_length_b 7.355
_cell_length_c 7.355
_cell_angle_alpha 90.00
_cell_angle_beta 90.00
_cell_angle_gamma 90.00
loop_
_atom_site_label
_atom_site_type_symbol
_atom_site_fract_x
_atom_site_fract_y
_atom_site_fract_z
_atom_site_occupancy
Li1 Li 0.000 0.000 0.000 1
Pr1 Pr 0.250 0.250 0.750 1
Dy1 Dy 0.250 0.250 0.250 1
Ga1 Ga 0.000 0.000 0.500 1



# LiDyGa2Pt4 PBE relaxed
# Mass density (Mg/m³): 13.6
# Energy of formation from the pure elements (meV per atom): -857
data_LiDyGa2Pt4
_chemical_formula_sum 'Li3 Dy3 Ga6 Pt12'
_space_group_name_H-M_alt 'R -3 m'
_space_group_IT_number 166
_space_group_name_Hall '-R 3 2"'
_cell_length_a 4.3227
_cell_length_b 4.3227
_cell_length_c 24.5698
_cell_angle_alpha 90.00
_cell_angle_beta 90.00
_cell_angle_gamma 120.00
loop_
_atom_site_label
_atom_site_type_symbol
_atom_site_fract_x
_atom_site_fract_y
_atom_site_fract_z
_atom_site_occupancy
Li1 Li 0.0000 0.0000 0.0000 1
Dy1 Dy 0.0000 0.0000 0.5000 1
Ga1 Ga 0.0000 0.0000 0.2595 1
Pt1 Pt 0.0000 0.0000 0.0993 1
Pt2 Pt 0.0000 0.0000 0.3690 1



# Li2DyGa2Pt2 PBE relaxed
# Mass density (Mg/m³): 9.6
# Energy of formation from the pure elements (meV per atom): -689
data_Li2DyGa2Pt2
_chemical_formula_sum 'Li4 Dy2 Ga4 Pt4'
_space_group_name_H-M_alt 'C 1 2/m 1'
_space_group_IT_number 12
_cell_length_a 7.640
_cell_length_b 4.395
_cell_length_c 7.730
_cell_angle_alpha 90.00
_cell_angle_beta 109.91
_cell_angle_gamma 90.00
loop_
_space_group_symop_operation_xyz
'x,y,z'
'-x,-y,-z'
'-x,y,-z'
'x,-y,z'
'x+1/2,y+1/2,z'
'-x+1/2,-y+1/2,-z'
'-x+1/2,y+1/2,-z'
'x+1/2,-y+1/2,z'
loop_
_atom_site_label
_atom_site_type_symbol
_atom_site_fract_x
_atom_site_fract_y
_atom_site_fract_z
_atom_site_occupancy
Li1 Li 0.079 0.000 0.241 1
Dy1 Dy 0.000 0.500 0.500 1
Ga1 Ga 0.135 0.500 0.905 1
Pt1 Pt 0.249 0.000 0.746 1



# LiDy2Ga4Pt3 PBE relaxed
# Mass density (Mg/m³): 10.7
# Energy of formation from the pure elements (meV per atom): -866
data_LiDy2Ga4Pt3
_chemical_formula_sum 'Li1 Dy2 Ga4 Pt3'
_space_group_name_H-M_alt 'P -4 m 2'
_space_group_IT_number 115
_cell_length_a 4.100
_cell_length_b 4.100
_cell_length_c 11.079
_cell_angle_alpha 90.00
_cell_angle_beta 90.00
_cell_angle_gamma 90.00
loop_
_space_group_symop_operation_xyz
'x,y,z'
'y,-x,-z'
'-x,-y,z'
'-y,x,-z'
'-x,y,z'
'-y,-x,-z'
'x,-y,z'
'y,x,-z'
loop_
_atom_site_label
_atom_site_type_symbol
_atom_site_fract_x
_atom_site_fract_y
_atom_site_fract_z
_atom_site_occupancy
Li1 Li 0.000 0.000 0.000 1
Dy1 Dy 0.000 0.500 0.744 1
Ga1 Ga 0.000 0.000 0.500 1
Ga2 Ga 0.000 0.500 0.133 1
Ga3 Ga 0.500 0.500 0.500 1
Pt1 Pt 0.000 0.500 0.358 1
Pt2 Pt 0.500 0.500 0.000 1